# 1
A relaxed structure of MgZn11Pt, computed with PBE.

Properties
- symmetry = C2/m
- E (eV/cell) = -23.2

Cell lengths 6.946, 6.946, 6.488 Å; angles 97.99, 97.99, 135.17 degrees
Positions (direct):
Mg  0.000  0.000  0.000
Zn  0.000  0.500  0.000
Zn  0.012  0.664  0.648
Zn  0.280  0.502  0.786
Zn  0.336  0.988  0.352
Zn  0.498  0.720  0.214
Zn  0.500  0.000  0.000
Zn  0.500  0.500  0.500
Zn  0.502  0.280  0.786
Zn  0.664  0.012  0.648
Zn  0.720  0.498  0.214
Zn  0.988  0.336  0.352
Pt  0.000  0.000  0.500

=====

# 2
A relaxed structure of ScGePb2Se5, computed with PBE.

Properties
- symmetry = Cmc2_1
- E (eV/cell) = -84.9
- formation energy without anion corrections (meV/atom) = -742

Cell lengths 9.291, 9.291, 12.693 Å; angles 90.00, 90.00, 153.55 degrees
Positions (direct):
Sc  0.203  0.797  0.500
Sc  0.797  0.203  0.000
Ge  0.442  0.558  0.913
Ge  0.558  0.442  0.413
Pb  0.120  0.880  0.796
Pb  0.135  0.865  0.148
Pb  0.865  0.135  0.648
Pb  0.880  0.120  0.296
Se  0.047  0.953  0.512
Se  0.297  0.703  0.141
Se  0.311  0.689  0.853
Se  0.350  0.650  0.486
Se  0.493  0.507  0.244
Se  0.507  0.493  0.744
Se  0.650  0.350  0.986
Se  0.689  0.311  0.353
Se  0.703  0.297  0.641
Se  0.953  0.047  0.012

=====

# 3
A relaxed structure of NaTcTeI2, computed with PBE.

Properties
- symmetry = P4/mmm
- energy relative to the lowest polymorph listed for this composition (eV/f.u.) = 0.00
- E (eV/cell) = -18.1
- formation energy without anion corrections (meV/atom) = -30

Cell lengths 5.813, 5.813, 5.061 Å; angles 90.00, 90.00, 90.00 degrees
Positions (direct):
Na  0.000  0.000  0.000
Tc  0.500  0.500  0.500
Te  0.500  0.500  0.000
I  0.000  0.500  0.500
I  0.500  0.000  0.500

=====

# 4
A relaxed structure of LaNbCoP2, computed with PBE.

Properties
- symmetry = P4/mmm
- energy relative to the lowest polymorph listed for this composition (eV/f.u.) = 7.59
- E (eV/cell) = -29.8

Cell lengths 4.771, 4.771, 5.565 Å; angles 90.00, 90.00, 90.00 degrees
Positions (direct):
La  0.000  0.000  0.000
Nb  0.000  0.000  0.500
Co  0.500  0.500  0.000
P  0.000  0.500  0.500
P  0.500  0.000  0.500

=====

# 5
A relaxed structure of Cu2SiPt, computed with PBE.

Properties
- symmetry = P2/m
- E (eV/cell) = -20.4
- formation energy without anion corrections (meV/atom) = -176

Cell lengths 2.796, 4.102, 4.819 Å; angles 90.00, 104.62, 90.00 degrees
Positions (direct):
Cu  0.140  0.000  0.268
Cu  0.860  0.000  0.732
Si  0.000  0.500  0.500
Pt  0.500  0.500  0.000

=====

# 6
A relaxed structure of MnCd2Pt, computed with PBE.

Properties
- symmetry = Pmm2
- E (eV/cell) = -17.5

Cell lengths 3.021, 3.599, 6.713 Å; angles 90.00, 90.00, 90.00 degrees
Positions (direct):
Mn  0.000  0.000  0.000
Cd  0.000  0.000  0.445
Cd  0.500  0.500  0.742
Pt  0.500  0.500  0.186

=====

# 7
A relaxed structure of CrI3, computed with PBE.

Properties
- symmetry = Fm-3m
- E (eV/cell) = -12.1
- formation energy without anion corrections (meV/atom) = 553

Cell lengths 5.631, 5.631, 5.631 Å; angles 60.00, 60.00, 60.00 degrees
Positions (direct):
Cr  0.000  0.000  0.000
I  0.250  0.250  0.250
I  0.500  0.500  0.500
I  0.750  0.750  0.750

=====

# 8
A relaxed structure of LiYNi2, computed with PBE.

Properties
- symmetry = P4mm
- E (eV/cell) = -19.8

Cell lengths 3.373, 3.373, 5.660 Å; angles 90.00, 90.00, 90.00 degrees
Positions (direct):
Li  0.000  0.000  0.000
Y  0.500  0.500  0.656
Ni  0.000  0.000  0.413
Ni  0.500  0.500  0.178

=====

# 9
A relaxed structure of TaSbTe2P, computed with PBE.

Properties
- symmetry = P4/mmm
- energy relative to the lowest polymorph listed for this composition (eV/f.u.) = 1.39
- E (eV/cell) = -22.4
- formation energy without anion corrections (meV/atom) = 1046

Cell lengths 5.143, 5.143, 4.947 Å; angles 90.00, 90.00, 90.00 degrees
Positions (direct):
Ta  0.000  0.000  0.000
Sb  0.500  0.500  0.000
Te  0.000  0.500  0.500
Te  0.500  0.000  0.500
P  0.500  0.500  0.500

=====

# 10
A relaxed structure of BeFeTcS2, computed with PBE.

Properties
- symmetry = P4/mmm
- E (eV/cell) = -26.9
- formation energy without anion corrections (meV/atom) = 778

Cell lengths 4.189, 4.189, 3.965 Å; angles 90.00, 90.00, 90.00 degrees
Positions (direct):
Be  0.000  0.000  0.000
Fe  0.000  0.000  0.500
Tc  0.500  0.500  0.500
S  0.000  0.500  0.000
S  0.500  0.000  0.000

=====

# 11
A relaxed structure of BaTbHg2O4, computed with PBE.

Properties
- symmetry = I222
- E (eV/cell) = -40.5
- formation energy without anion corrections (meV/atom) = -1686

Cell lengths 5.812, 5.812, 5.812 Å; angles 114.27, 113.07, 101.37 degrees
Positions (direct):
Ba  0.000  0.000  0.000
Tb  0.500  0.500  0.000
Hg  0.211  0.711  0.500
Hg  0.789  0.289  0.500
O  0.136  0.521  0.024
O  0.498  0.112  0.976
O  0.502  0.479  0.615
O  0.864  0.888  0.385

=====

# 12
A relaxed structure of TiPd3F, computed with PBE.

Properties
- symmetry = Pm-3m
- energy relative to the lowest polymorph listed for this composition (eV/f.u.) = 0.00
- E (eV/cell) = -24.9
- formation energy without anion corrections (meV/atom) = 89

Cell lengths 4.327, 4.327, 4.327 Å; angles 90.00, 90.00, 90.00 degrees
Positions (direct):
Ti  0.000  0.000  0.000
Pd  0.000  0.500  0.500
Pd  0.500  0.000  0.500
Pd  0.500  0.500  0.000
F  0.500  0.500  0.500

=====

# 13
A relaxed structure of Nd2RhS, computed with PBE.

Properties
- symmetry = R-3m
- energy relative to the lowest polymorph listed for this composition (eV/f.u.) = 2.86
- E (eV/cell) = -23.5
- formation energy without anion corrections (meV/atom) = -616

Cell lengths 9.006, 9.006, 9.006 Å; angles 24.07, 24.07, 24.07 degrees
Positions (direct):
Nd  0.098  0.098  0.098
Nd  0.902  0.902  0.902
Rh  0.000  0.000  0.000
S  0.500  0.500  0.500

=====

# 14
A relaxed structure of HoCd7Pd4, computed with PBE.

Properties
- symmetry = C2/m
- E (eV/cell) = -33.2

Cell lengths 6.622, 6.622, 9.864 Å; angles 122.27, 122.27, 46.40 degrees
Positions (direct):
Ho  0.000  0.000  0.000
Cd  0.064  0.064  0.367
Cd  0.215  0.215  0.875
Cd  0.331  0.331  0.405
Cd  0.500  0.500  0.000
Cd  0.669  0.669  0.595
Cd  0.785  0.785  0.125
Cd  0.936  0.936  0.633
Pd  0.306  0.306  0.669
Pd  0.423  0.423  0.214
Pd  0.577  0.577  0.786
Pd  0.694  0.694  0.331

=====

# 15
A relaxed structure of LaTa2MoRu, computed with PBE.

Properties
- symmetry = P4/mmm
- E (eV/cell) = -37.0

Cell lengths 4.906, 4.906, 4.573 Å; angles 90.00, 90.00, 90.00 degrees
Positions (direct):
La  0.000  0.000  0.000
Ta  0.000  0.500  0.000
Ta  0.500  0.000  0.000
Mo  0.500  0.500  0.500
Ru  0.000  0.000  0.500

=====

# 16
A relaxed structure of SrHg2Ir, computed with PBE.

Properties
- symmetry = P2/m
- E (eV/cell) = -11.0

Cell lengths 3.501, 4.811, 5.860 Å; angles 90.00, 103.21, 90.00 degrees
Positions (direct):
Sr  0.000  0.000  0.000
Hg  0.367  0.500  0.721
Hg  0.633  0.500  0.279
Ir  0.500  0.000  0.500

=====

# 17
A relaxed structure of Sr2TlTc, computed with PBE.

Properties
- symmetry = P2/m
- energy relative to the lowest polymorph listed for this composition (eV/f.u.) = 0.41
- E (eV/cell) = -14.3

Cell lengths 3.692, 3.659, 8.794 Å; angles 90.00, 90.09, 90.00 degrees
Positions (direct):
Sr  0.000  0.000  0.224
Sr  0.000  0.000  0.776
Tl  0.500  0.500  0.500
Tc  0.500  0.500  0.000

=====

# 18
A relaxed structure of BaDyBSe4, computed with PBE.

Properties
- symmetry = P2_1/m
- E (eV/cell) = -72.5
- formation energy without anion corrections (meV/atom) = -1305

Cell lengths 6.503, 6.742, 8.681 Å; angles 90.00, 107.92, 90.00 degrees
Positions (direct):
Ba  0.225  0.250  0.429
Ba  0.775  0.750  0.571
Dy  0.267  0.250  0.946
Dy  0.733  0.750  0.054
B  0.288  0.750  0.182
B  0.712  0.250  0.818
Se  0.101  0.750  0.940
Se  0.102  0.750  0.343
Se  0.493  0.506  0.224
Se  0.493  0.994  0.224
Se  0.507  0.006  0.776
Se  0.507  0.494  0.776
Se  0.898  0.250  0.657
Se  0.899  0.250  0.060

=====

# 19
A relaxed structure of Tm4SiBiTe2, computed with PBE.

Properties
- symmetry = P2/m
- E (eV/cell) = -41.8
- formation energy without anion corrections (meV/atom) = -1042

Cell lengths 7.451, 4.268, 7.474 Å; angles 90.00, 109.23, 90.00 degrees
Positions (direct):
Tm  0.222  0.000  0.224
Tm  0.231  0.500  0.765
Tm  0.769  0.500  0.235
Tm  0.778  0.000  0.776
Si  0.000  0.500  0.000
Bi  0.000  0.000  0.500
Te  0.500  0.000  0.000
Te  0.500  0.500  0.500

=====

# 20
A relaxed structure of ZnCr2Ni, computed with PBE.

Properties
- symmetry = R3m
- E (eV/cell) = -25.6

Cell lengths 8.723, 8.723, 8.723 Å; angles 16.74, 16.74, 16.74 degrees
Positions (direct):
Zn  0.000  0.000  0.000
Cr  0.245  0.245  0.245
Cr  0.494  0.494  0.494
Ni  0.750  0.750  0.750

=====

# 21
A relaxed structure of AcTiGe, computed with PBE.

Properties
- symmetry = R-3m
- energy relative to the lowest polymorph listed for this composition (eV/f.u.) = 0.58
- E (eV/cell) = -35.1

Cell lengths 11.499, 11.499, 11.499 Å; angles 21.38, 21.38, 21.38 degrees
Positions (direct):
Ac  0.111  0.111  0.111
Ac  0.889  0.889  0.889
Ti  0.308  0.308  0.308
Ti  0.692  0.692  0.692
Ge  0.386  0.386  0.386
Ge  0.614  0.614  0.614

=====

# 22
A relaxed structure of Nd2SmErTl2, computed with PBE.

Properties
- symmetry = Pmc2_1
- E (eV/cell) = -50.3

Cell lengths 5.177, 10.207, 6.943 Å; angles 90.00, 90.00, 90.00 degrees
Positions (direct):
Nd  0.000  0.046  0.000
Nd  0.000  0.954  0.500
Nd  0.500  0.184  0.275
Nd  0.500  0.816  0.775
Sm  0.500  0.456  0.904
Sm  0.500  0.544  0.404
Er  0.000  0.313  0.621
Er  0.000  0.687  0.121
Tl  0.000  0.375  0.166
Tl  0.000  0.625  0.666
Tl  0.500  0.144  0.741
Tl  0.500  0.856  0.241

=====

# 23
A relaxed structure of NdY2Bi2, computed with PBE.

Properties
- symmetry = C2/m
- E (eV/cell) = -27.9

Cell lengths 4.804, 4.804, 7.615 Å; angles 102.84, 102.84, 81.86 degrees
Positions (direct):
Nd  0.000  0.000  0.000
Y  0.251  0.749  0.500
Y  0.749  0.251  0.500
Bi  0.339  0.339  0.788
Bi  0.661  0.661  0.212

=====

# 24
A relaxed structure of Y2TaNi2, computed with PBE.

Properties
- symmetry = P4/mbm
- energy relative to the lowest polymorph listed for this composition (eV/f.u.) = 2.23
- E (eV/cell) = -69.7

Cell lengths 7.936, 7.936, 3.080 Å; angles 90.00, 90.00, 90.00 degrees
Positions (direct):
Y  0.147  0.353  0.000
Y  0.353  0.853  0.000
Y  0.647  0.147  0.000
Y  0.853  0.647  0.000
Ta  0.000  0.000  0.000
Ta  0.500  0.500  0.000
Ni  0.156  0.656  0.500
Ni  0.344  0.156  0.500
Ni  0.656  0.844  0.500
Ni  0.844  0.344  0.500

=====

# 25
A relaxed structure of KIn2Cu2, computed with PBE.

Properties
- symmetry = I4/mmm
- energy relative to the lowest polymorph listed for this composition (eV/f.u.) = 0.00
- E (eV/cell) = -14.4

Cell lengths 6.291, 6.291, 6.291 Å; angles 134.46, 134.46, 66.37 degrees
Positions (direct):
K  0.000  0.000  0.000
In  0.351  0.351  0.000
In  0.649  0.649  0.000
Cu  0.250  0.750  0.500
Cu  0.750  0.250  0.500

=====

# 26
A relaxed structure of SrTl2NiPb, computed with PBE.

Properties
- symmetry = P4/mmm
- energy relative to the lowest polymorph listed for this composition (eV/f.u.) = 0.12
- E (eV/cell) = -16.2

Cell lengths 5.107, 5.107, 5.596 Å; angles 90.00, 90.00, 90.00 degrees
Positions (direct):
Sr  0.000  0.000  0.000
Tl  0.000  0.500  0.500
Tl  0.500  0.000  0.500
Ni  0.000  0.000  0.500
Pb  0.500  0.500  0.000